Here is TiNiO2 after structural relaxation from Alexandria via LeMat-Bulk. Energies are from PBE with a Hubbard U.

Summary:
The size of the total moment is 0.0000 μB/atom. As for the space group: Fm-3m. The value obtained for the total energy is -24.7 eV/cell. The calculation puts the offset from the most stable computed form at 0.671 eV per atom. The calculation puts the volume at 8.765 A^3/atom.

a b c (Å): 3.6737 3.6737 3.6737
angles (deg): 60.00 60.00 60.00
Sites, in units of the cell vectors:
Ti 0.0000 0.0000 0.0000
Ni 0.5000 0.5000 0.5000
O 0.2500 0.2500 0.2500
O 0.7500 0.7500 0.7500